TiPBr2 | meta-GGA SCAN | PBEsol geometry

Calculated values
* formation energy without anion corrections: -0.14 eV/atom
* crystal system: trigonal
* N(E_F): 2.118 states/eV/f.u.
* total moment: 0.75 μB/cell

extended XYZ file:
```
4
Lattice="3.2011 0.0000 0.0000 1.6006 2.7722 0.0000 1.6006 0.9241 10.0785" Properties=species:S:1:pos:R:3 pbc="T T T"
Ti 3.2011 1.8482 5.0392
Br 4.8017 2.7722 3.2791
Br 1.6006 0.9241 6.7994
P 0.0000 0.0000 0.0000
```